1.
# PBE La2NdY6Th3, relaxed
# - E: -6.288 eV per atom
# - Formation enthalpy at 0 K: 0.0178 eV/atom
data_La2NdY6Th3
_cell_length_a 6.2677
_cell_length_b 10.8582
_cell_length_c 11.8469
_cell_angle_alpha 90.00
_cell_angle_beta 100.20
_cell_angle_gamma 90.00
_symmetry_space_group_name_H-M 'C 1 2/m 1'
_symmetry_Int_Tables_number 12
loop_
_symmetry_equiv_pos_as_xyz
'x,y,z'
'-x,-y,-z'
'-x,y,-z'
'x,-y,z'
'x+1/2,y+1/2,z'
'-x+1/2,-y+1/2,-z'
'-x+1/2,y+1/2,-z'
'x+1/2,-y+1/2,z'
loop_
_atom_site_label
_atom_site_type_symbol
_atom_site_fract_x
_atom_site_fract_y
_atom_site_fract_z
La1 La 0.0000 0.1662 0.0000
Nd1 Nd 0.0000 0.5000 0.0000
Y1 Y 0.2467 0.5000 0.7417
Y2 Y 0.2478 0.1663 0.7419
Th1 Th 0.0000 0.0000 0.5000
Th2 Th 0.0000 0.3332 0.5000

---

2.
# PBE La6NdY2Th, relaxed
# - E: -5.340 eV per atom
# - Formation enthalpy at 0 K: 0.1284 eV/atom
data_La6NdY2Th
_cell_length_a 9.5709
_cell_length_b 15.4392
_cell_length_c 9.7052
_cell_angle_alpha 90.00
_cell_angle_beta 95.65
_cell_angle_gamma 90.00
_symmetry_space_group_name_H-M 'C 1 2/c 1'
_symmetry_Int_Tables_number 15
loop_
_symmetry_equiv_pos_as_xyz
'x,y,z'
'-x,-y,-z'
'-x,y,-z+1/2'
'x,-y,z+1/2'
'x+1/2,y+1/2,z'
'-x+1/2,-y+1/2,-z'
'-x+1/2,y+1/2,-z+1/2'
'x+1/2,-y+1/2,z+1/2'
loop_
_atom_site_label
_atom_site_type_symbol
_atom_site_fract_x
_atom_site_fract_y
_atom_site_fract_z
La1 La 0.0623 0.1741 0.4381
La2 La 0.0936 0.3874 0.6180
La3 La 0.2147 0.2153 0.8023
Nd1 Nd 0.0000 0.0309 0.7500
Y1 Y 0.2495 0.0465 0.0504
Th1 Th 0.0000 0.4105 0.2500

---

3.
# PBE LaNdYTh2, relaxed
# - E: -5.842 eV per atom
# - Formation enthalpy at 0 K: 0.3575 eV/atom
data_LaNdYTh2
_cell_length_a 6.7461
_cell_length_b 15.9106
_cell_length_c 6.7716
_cell_angle_alpha 90.00
_cell_angle_beta 90.00
_cell_angle_gamma 90.00
_symmetry_space_group_name_H-M 'C m c m'
_symmetry_Int_Tables_number 63
_symmetry_space_group_name_Hall '-C 2c 2'
loop_
_atom_site_label
_atom_site_type_symbol
_atom_site_fract_x
_atom_site_fract_y
_atom_site_fract_z
La1 La 0.0000 0.2362 0.2500
Nd1 Nd 0.0000 0.3501 0.7500
Y1 Y 0.0000 0.1516 0.7500
Th1 Th 0.2468 0.0000 0.0000

---

4.
# PBE La2NdY6Th2, relaxed
# - E: -6.022 eV per atom
# - Formation enthalpy at 0 K: 0.1819 eV/atom
data_La2NdY6Th2
_cell_length_a 6.3037
_cell_length_b 10.6657
_cell_length_c 11.6619
_cell_angle_alpha 90.00
_cell_angle_beta 97.57
_cell_angle_gamma 90.00
_symmetry_space_group_name_H-M 'C 1 2/m 1'
_symmetry_Int_Tables_number 12
loop_
_symmetry_equiv_pos_as_xyz
'x,y,z'
'-x,-y,-z'
'-x,y,-z'
'x,-y,z'
'x+1/2,y+1/2,z'
'-x+1/2,-y+1/2,-z'
'-x+1/2,y+1/2,-z'
'x+1/2,-y+1/2,z'
loop_
_atom_site_label
_atom_site_type_symbol
_atom_site_fract_x
_atom_site_fract_y
_atom_site_fract_z
La1 La 0.0000 0.1803 0.0000
Nd1 Nd 0.0000 0.0000 0.5000
Y1 Y 0.2251 0.5000 0.7502
Y2 Y 0.2346 0.1693 0.7420
Th1 Th 0.0000 0.3353 0.5000

---

5.
# PBE LaNdY2Th, relaxed
# - E: -5.709 eV per atom
# - Formation enthalpy at 0 K: 0.2997 eV/atom
data_LaNdY2Th
_cell_length_a 8.7910
_cell_length_b 6.5574
_cell_length_c 6.4120
_cell_angle_alpha 90.00
_cell_angle_beta 102.27
_cell_angle_gamma 90.00
_symmetry_space_group_name_H-M 'P 1 2/c 1'
_symmetry_Int_Tables_number 13
loop_
_symmetry_equiv_pos_as_xyz
'x,y,z'
'-x,-y,-z'
'-x,y,-z+1/2'
'x,-y,z+1/2'
loop_
_atom_site_label
_atom_site_type_symbol
_atom_site_fract_x
_atom_site_fract_y
_atom_site_fract_z
La1 La 0.0000 0.0000 0.0000
Nd1 Nd 0.5000 0.1642 0.2500
Y1 Y 0.3139 0.3324 0.6842
Th1 Th 0.0000 0.4525 0.2500

---

6.
# PBE La2Nd5YTh, relaxed
# - E: -5.143 eV per atom
# - Formation enthalpy at 0 K: 0.1431 eV/atom
data_La2Nd5YTh
_cell_length_a 5.7634
_cell_length_b 20.8070
_cell_length_c 10.7102
_cell_angle_alpha 90.00
_cell_angle_beta 90.00
_cell_angle_gamma 90.00
_symmetry_space_group_name_H-M 'C m c 21'
_symmetry_Int_Tables_number 36
loop_
_symmetry_equiv_pos_as_xyz
'x,y,z'
'-x,-y,z+1/2'
'-x,y,z'
'x,-y,z+1/2'
'x+1/2,y+1/2,z'
'-x+1/2,-y+1/2,z+1/2'
'-x+1/2,y+1/2,z'
'x+1/2,-y+1/2,z+1/2'
loop_
_atom_site_label
_atom_site_type_symbol
_atom_site_fract_x
_atom_site_fract_y
_atom_site_fract_z
La1 La 0.0000 0.1151 0.0000
La2 La 0.0000 0.1158 0.5784
Nd1 Nd 0.0000 0.0147 0.2844
Nd2 Nd 0.0000 0.2743 0.5807
Nd3 Nd 0.0000 0.2919 0.9707
Nd4 Nd 0.0000 0.3831 0.2896
Nd5 Nd 0.0000 0.4844 0.0116
Y1 Y 0.0000 0.4038 0.7307
Th1 Th 0.0000 0.1998 0.2775

---

7.
# PBE LaNd2Y5Th, relaxed
# - E: -5.756 eV per atom
# - Formation enthalpy at 0 K: 0.2661 eV/atom
data_LaNd2Y5Th
_cell_length_a 8.7502
_cell_length_b 8.7502
_cell_length_c 15.7126
_cell_angle_alpha 90.00
_cell_angle_beta 90.00
_cell_angle_gamma 90.00
_symmetry_space_group_name_H-M 'I 4/m c m'
_symmetry_Int_Tables_number 140
_symmetry_space_group_name_Hall '-I 4 2c'
loop_
_atom_site_label
_atom_site_type_symbol
_atom_site_fract_x
_atom_site_fract_y
_atom_site_fract_z
La1 La 0.0000 0.5000 0.2500
Nd1 Nd 0.1169 0.3831 0.0000
Y1 Y 0.0000 0.0000 0.0000
Y2 Y 0.2105 0.2895 0.3623
Th1 Th 0.0000 0.0000 0.2500

---

8.
# PBE La3Nd2Y6Th, relaxed
# - E: -5.858 eV per atom
# - Formation enthalpy at 0 K: 0.0190 eV/atom
data_La3Nd2Y6Th
_cell_length_a 6.3167
_cell_length_b 10.9366
_cell_length_c 11.9096
_cell_angle_alpha 90.00
_cell_angle_beta 100.19
_cell_angle_gamma 90.00
_symmetry_space_group_name_H-M 'C 1 2/m 1'
_symmetry_Int_Tables_number 12
loop_
_symmetry_equiv_pos_as_xyz
'x,y,z'
'-x,-y,-z'
'-x,y,-z'
'x,-y,z'
'x+1/2,y+1/2,z'
'-x+1/2,-y+1/2,-z'
'-x+1/2,y+1/2,-z'
'x+1/2,-y+1/2,z'
loop_
_atom_site_label
_atom_site_type_symbol
_atom_site_fract_x
_atom_site_fract_y
_atom_site_fract_z
La1 La 0.0000 0.0000 0.0000
La2 La 0.0000 0.3325 0.0000
Nd1 Nd 0.0000 0.1667 0.5000
Y1 Y 0.2468 0.3352 0.7460
Y2 Y 0.2476 0.5000 0.2538
Th1 Th 0.0000 0.5000 0.5000

---

9.
# PBE La5Nd2YTh, relaxed
# - E: -5.221 eV per atom
# - Formation enthalpy at 0 K: 0.1189 eV/atom
data_La5Nd2YTh
_cell_length_a 5.5766
_cell_length_b 22.1256
_cell_length_c 10.6294
_cell_angle_alpha 90.00
_cell_angle_beta 90.00
_cell_angle_gamma 90.00
_symmetry_space_group_name_H-M 'C m c m'
_symmetry_Int_Tables_number 63
_symmetry_space_group_name_Hall '-C 2c 2'
loop_
_atom_site_label
_atom_site_type_symbol
_atom_site_fract_x
_atom_site_fract_y
_atom_site_fract_z
La1 La 0.0000 0.0000 0.0000
La2 La 0.0000 0.1304 0.2500
La3 La 0.0000 0.2248 0.5587
La4 La 0.0000 0.4998 0.2500
Nd1 Nd 0.0000 0.3881 0.0027
Y1 Y 0.0000 0.1029 0.7500
Th1 Th 0.0000 0.2900 0.2500

---

10.
# PBE LaNd2Ti, relaxed
# - E: -5.121 eV per atom
# - Formation enthalpy at 0 K: 0.4683 eV/atom
data_LaNd2Ti
_cell_length_a 3.4366
_cell_length_b 3.4366
_cell_length_c 36.5022
_cell_angle_alpha 90.00
_cell_angle_beta 90.00
_cell_angle_gamma 120.00
_symmetry_space_group_name_H-M 'R -3 m'
_symmetry_Int_Tables_number 166
_symmetry_space_group_name_Hall '-R 3 2"'
loop_
_atom_site_label
_atom_site_type_symbol
_atom_site_fract_x
_atom_site_fract_y
_atom_site_fract_z
La1 La 0.0000 0.0000 0.0000
Nd1 Nd 0.0000 0.0000 0.4184
Ti1 Ti 0.0000 0.0000 0.5000

---

11.
# PBE La2Nd3Tl2, relaxed
# - Offset from the most stable computed form: 1.0 kJ/mol of atoms
# - E: -4.337 eV per atom
# - Formation enthalpy at 0 K: -0.2097 eV/atom
data_La2Nd3Tl2
_cell_length_a 5.6640
_cell_length_b 6.7005
_cell_length_c 6.7938
_cell_angle_alpha 81.55
_cell_angle_beta 65.51
_cell_angle_gamma 89.98
_symmetry_space_group_name_H-M 'P -1'
_symmetry_Int_Tables_number 2
loop_
_symmetry_equiv_pos_as_xyz
'x,y,z'
'-x,-y,-z'
loop_
_atom_site_label
_atom_site_type_symbol
_atom_site_fract_x
_atom_site_fract_y
_atom_site_fract_z
La1 La 0.1500 0.0523 0.2048
Nd1 Nd 0.0000 0.5000 0.5000
Nd2 Nd 0.3206 0.6046 0.8570
Tl1 Tl 0.4243 0.1804 0.6466

---

12.
# PBE LaNdTl2, relaxed
# - E: -4.011 eV per atom
# - Formation enthalpy at 0 K: -0.4038 eV/atom
data_LaNdTl2
_cell_length_a 7.8981
_cell_length_b 7.8981
_cell_length_c 7.8981
_cell_angle_alpha 90.00
_cell_angle_beta 90.00
_cell_angle_gamma 90.00
_symmetry_space_group_name_H-M 'F m -3 m'
_symmetry_Int_Tables_number 225
_symmetry_space_group_name_Hall '-F 4 2 3'
loop_
_atom_site_label
_atom_site_type_symbol
_atom_site_fract_x
_atom_site_fract_y
_atom_site_fract_z
La1 La 0.0000 0.0000 0.0000
Nd1 Nd 0.0000 0.0000 0.5000
Tl1 Tl 0.2500 0.2500 0.2500